Record 1
{
  "formula": "CoIO2",
  "functional": "meta-GGA SCAN",
  "state": "PBEsol geometry",
  "volume_a3_per_cell": 126,
  "crystal_system": "tetragonal",
  "raw_formation_energy_ev_per_atom": -0.282,
  "lattice_angstrom": [[-1.455, 0.437, 5.387], [5.193, -1.728, -1.365], [-1.456, 5.341, -0.826]],
  "species": ["I", "I", "O", "O", "O", "O", "Co", "Co"],
  "frac_coords": [[0.250, 0.500, 0.750], [0.000, 0.000, 0.000], [0.579, 0.250, 0.375], [0.625, 0.750, 0.329], [0.671, 0.250, 0.875], [0.125, 0.750, 0.421], [0.500, 0.000, 0.500], [0.750, 0.500, 0.250]]
}


Record 2
{
  "formula": "CoI2O6",
  "functional": "meta-GGA SCAN",
  "state": "PBEsol geometry",
  "volume_a3_per_cell": 494,
  "crystal_system": "trigonal",
  "raw_formation_energy_ev_per_atom": -0.577,
  "lattice_angstrom": [[-2.987, -2.056, -3.251], [2.416, -9.775, 3.963], [-8.307, 5.596, 4.094]],
  "species": ["O", "O", "O", "O", "O", "O", "O", "O", "O", "O", "O", "O", "O", "O", "O", "O", "O", "O", "O", "O", "O", "O", "O", "O", "I", "I", "I", "I", "I", "I", "I", "I", "Co", "Co", "Co", "Co"],
  "frac_coords": [[0.171, 0.024, 0.652], [0.178, 0.834, 0.884], [0.717, 0.991, 0.798], [0.178, 0.050, 0.166], [0.704, 0.000, 0.299], [0.218, 0.644, 0.483], [0.657, 0.797, 0.509], [0.705, 0.188, 0.678], [0.149, 0.535, 0.664], [0.218, 0.838, 0.356], [0.705, 0.322, 0.510], [0.704, 0.298, 0.000], [0.218, 0.517, 0.162], [0.704, 0.701, 0.702], [0.657, 0.712, 0.203], [0.657, 0.491, 0.288], [0.149, 0.129, 0.465], [0.171, 0.628, 0.976], [0.171, 0.348, 0.372], [0.178, 0.116, 0.950], [0.717, 0.807, 0.009], [0.717, 0.202, 0.193], [0.149, 0.336, 0.871], [0.705, 0.490, 0.812], [0.989, 0.984, 0.485], [0.989, 0.515, 0.499], [0.498, 0.834, 0.680], [0.523, 0.333, 0.667], [0.498, 0.320, 0.154], [0.498, 0.846, 0.166], [0.989, 0.501, 0.016], [0.982, 0.000, 0.000], [0.934, 0.160, 0.823], [0.934, 0.177, 0.337], [0.431, 0.667, 0.333], [0.934, 0.663, 0.840]]
}


Q: What is the formula in the first record?
A: CoIO2